Below is a relaxed structure of CdSnPd5, with properties calculated at the PBE level.

a = 4.074 Å, b = 4.074 Å, c = 7.495 Å
α = 90.00°, β = 90.00°, γ = 90.00°
Atoms (fractional coordinates):
Cd1 0.000 0.000 0.500
Sn1 0.500 0.500 0.000
Pd1 0.000 0.500 0.768
Pd2 0.000 0.500 0.232
Pd3 0.500 0.000 0.768
Pd4 0.500 0.000 0.232
Pd5 0.500 0.500 0.500

Summary:
* total magnetic moment: 0.00 μB/f.u.
* calculated volume: 17.8 A^3/atom
* E above lowest polymorph: 0.0000 eV/atom
* space group: P4/mmm
* crystal system: tetragonal


Below is a relaxed structure of Cd2SnPd6, with properties calculated at the PBE level.

a = 3.940 Å, b = 6.164 Å, c = 7.470 Å
α = 114.37°, β = 90.01°, γ = 90.00°
Atoms (fractional coordinates):
Cd1 0.500 0.764 0.528
Cd2 0.500 0.236 0.472
Sn1 0.000 0.000 0.000
Pd1 0.000 0.425 0.300
Pd2 0.000 0.125 0.700
Pd3 0.000 0.575 0.700
Pd4 0.500 0.286 0.000
Pd5 0.000 0.875 0.300
Pd6 0.500 0.714 0.000

Summary:
* electronic total energy: -4.334 eV per atom
* total magnetic moment: 0.00 μB/f.u.
* calculated volume: 18.4 A^3/atom
* space group: Cmmm
* crystal system: orthorhombic


Below is a relaxed structure of CdSn2Pd, with properties calculated at the PBE level.

a = 4.506 Å, b = 4.506 Å, c = 6.095 Å
α = 68.30°, β = 68.30°, γ = 60.00°
Atoms (fractional coordinates):
Cd1 0.495 0.495 0.514
Sn1 0.066 0.066 0.803
Sn2 0.273 0.273 0.182
Pd1 0.666 0.666 0.001

Summary:
* electronic total energy: -3.723 eV per atom
* total magnetic moment: 0.00 μB/f.u.
* calculated volume: 24.2 A^3/atom
* space group: R3m
* crystal system: trigonal


Below is a relaxed structure of Cd2SnPd8, with properties calculated at the PBE level.

a = 4.143 Å, b = 6.276 Å, c = 7.507 Å
α = 104.17°, β = 106.02°, γ = 90.00°
Atoms (fractional coordinates):
Cd1 0.777 0.354 0.554
Cd2 0.223 0.646 0.446
Sn1 0.500 0.000 0.000
Pd1 0.410 0.548 0.819
Pd2 0.678 0.910 0.356
Pd3 0.861 0.818 0.722
Pd4 0.959 0.273 0.918
Pd5 0.139 0.182 0.278
Pd6 0.322 0.090 0.644
Pd7 0.590 0.452 0.181
Pd8 0.041 0.727 0.082

Summary:
* total magnetic moment: 0.00 μB/f.u.
* calculated volume: 16.5 A^3/atom
* E above lowest polymorph: 0.0000 eV/atom
* space group: C2/m
* crystal system: monoclinic


Below is a relaxed structure of CdSn2Pd6, with properties calculated at the PBE level.

a = 4.218 Å, b = 4.849 Å, c = 8.923 Å
α = 69.12°, β = 76.33°, γ = 64.22°
Atoms (fractional coordinates):
Cd1 0.000 0.500 0.500
Sn1 0.311 0.632 0.747
Sn2 0.689 0.368 0.253
Pd1 0.659 0.739 0.943
Pd2 0.341 0.261 0.057
Pd3 0.010 0.808 0.172
Pd4 0.338 0.926 0.398
Pd5 0.990 0.192 0.828
Pd6 0.662 0.074 0.602

Summary:
* electronic total energy: -4.890 eV per atom
* total magnetic moment: 0.00 μB/f.u.
* calculated volume: 17.0 A^3/atom
* space group: C2/m
* crystal system: monoclinic


Below is a relaxed structure of CdSn2Pd7, with properties calculated at the PBE level.

a = 4.247 Å, b = 7.752 Å, c = 7.752 Å
α = 123.27°, β = 90.00°, γ = 90.00°
Atoms (fractional coordinates):
Cd1 0.000 0.000 0.000
Sn1 0.500 0.696 0.304
Sn2 0.500 0.304 0.696
Pd1 0.000 0.803 0.197
Pd2 0.000 0.197 0.803
Pd3 0.500 0.079 0.290
Pd4 0.500 0.921 0.710
Pd5 0.500 0.290 0.079
Pd6 0.500 0.710 0.921
Pd7 0.500 0.500 0.500

Summary:
* total magnetic moment: 0.00 μB/f.u.
* calculated volume: 21.3 A^3/atom
* E above lowest polymorph: 0.3255 eV/atom
* space group: Cmmm
* crystal system: orthorhombic


Below is a relaxed structure of Cd3Sn2Pd8, with properties calculated at the PBE level.

a = 5.394 Å, b = 5.394 Å, c = 10.302 Å
α = 74.82°, β = 74.82°, γ = 60.00°
Atoms (fractional coordinates):
Cd1 0.000 0.000 0.000
Cd2 0.814 0.814 0.558
Cd3 0.186 0.186 0.442
Sn1 0.634 0.634 0.098
Sn2 0.366 0.366 0.902
Pd1 0.721 0.721 0.836
Pd2 0.279 0.279 0.164
Pd3 0.224 0.731 0.314
Pd4 0.731 0.224 0.314
Pd5 0.731 0.731 0.314
Pd6 0.269 0.776 0.686
Pd7 0.776 0.269 0.686
Pd8 0.269 0.269 0.686

Summary:
* electronic total energy: -4.192 eV per atom
* total magnetic moment: 0.00 μB/f.u.
* calculated volume: 19.0 A^3/atom
* space group: R-3m
* crystal system: trigonal


Below is a relaxed structure of CdSn2Pd, with properties calculated at the PBE level.

a = 4.511 Å, b = 4.511 Å, c = 9.850 Å
α = 76.76°, β = 76.76°, γ = 90.00°
Atoms (fractional coordinates):
Sn1 0.599 0.125 0.250
Sn2 0.151 0.625 0.250
Sn3 0.375 0.401 0.750
Sn4 0.875 0.849 0.750
Pd1 0.500 0.500 0.000
Pd2 0.250 0.750 0.500
Cd1 0.000 0.000 0.000
Cd2 0.750 0.250 0.500

Summary:
* electronic total energy: -3.589 eV per atom
* total magnetic moment: 0.00 μB/f.u.
* calculated volume: 23.7 A^3/atom
* space group: I-42d
* crystal system: tetragonal